# 1
# PrTmTc, optimized geometry, DFT PBE-GGA
# Volume: 330.8 Å³ per cell
# Crystal system: orthorhombic
# ΔE to the lowest computed polymorph: 1.5 kJ per mole of atoms
data_PrTmTc
_symmetry_space_group_name_H-M 'P 1'
_symmetry_Int_Tables_number 1
_cell_length_a 7.157
_cell_length_b 7.157
_cell_length_c 7.595
_cell_angle_alpha 90.00
_cell_angle_beta 90.00
_cell_angle_gamma 121.75
loop_
_symmetry_equiv_pos_as_xyz
'x,y,z'
loop_
_atom_site_label
_atom_site_type_symbol
_atom_site_fract_x
_atom_site_fract_y
_atom_site_fract_z
_atom_site_occupancy
Pr1 Pr 0.197 0.803 0.887 1
Pr2 Pr 0.303 0.697 0.387 1
Pr3 Pr 0.697 0.303 0.613 1
Pr4 Pr 0.803 0.197 0.113 1
Tm1 Tm 0.210 0.290 0.750 1
Tm2 Tm 0.290 0.210 0.250 1
Tm3 Tm 0.710 0.790 0.750 1
Tm4 Tm 0.790 0.710 0.250 1
Tc1 Tc 0.096 0.904 0.536 1
Tc2 Tc 0.404 0.596 0.036 1
Tc3 Tc 0.596 0.404 0.964 1
Tc4 Tc 0.904 0.096 0.464 1


# 2
# PrTm4Tc, optimized geometry, DFT PBE-GGA
# Volume: 663.2 Å³ per cell
# Crystal system: orthorhombic
data_PrTm4Tc
_symmetry_space_group_name_H-M 'P 1'
_symmetry_Int_Tables_number 1
_cell_length_a 8.731
_cell_length_b 3.727
_cell_length_c 20.381
_cell_angle_alpha 90.00
_cell_angle_beta 90.00
_cell_angle_gamma 90.00
loop_
_symmetry_equiv_pos_as_xyz
'x,y,z'
loop_
_atom_site_label
_atom_site_type_symbol
_atom_site_fract_x
_atom_site_fract_y
_atom_site_fract_z
_atom_site_occupancy
Pr1 Pr 0.227 0.250 0.188 1
Pr2 Pr 0.273 0.750 0.688 1
Pr3 Pr 0.727 0.250 0.312 1
Pr4 Pr 0.773 0.750 0.812 1
Tm1 Tm 0.009 0.750 0.566 1
Tm2 Tm 0.043 0.750 0.296 1
Tm3 Tm 0.132 0.750 0.043 1
Tm4 Tm 0.149 0.750 0.859 1
Tm5 Tm 0.351 0.250 0.359 1
Tm6 Tm 0.368 0.250 0.543 1
Tm7 Tm 0.457 0.250 0.796 1
Tm8 Tm 0.491 0.250 0.066 1
Tm9 Tm 0.509 0.750 0.934 1
Tm10 Tm 0.543 0.750 0.204 1
Tm11 Tm 0.632 0.750 0.457 1
Tm12 Tm 0.649 0.750 0.641 1
Tm13 Tm 0.851 0.250 0.141 1
Tm14 Tm 0.868 0.250 0.957 1
Tm15 Tm 0.957 0.250 0.704 1
Tm16 Tm 0.991 0.250 0.434 1
Tc1 Tc 0.239 0.750 0.454 1
Tc2 Tc 0.261 0.250 0.954 1
Tc3 Tc 0.739 0.750 0.046 1
Tc4 Tc 0.761 0.250 0.546 1


# 3
# PrTmZnTc, optimized geometry, DFT PBE-GGA
# Volume: 88.1 Å³ per cell
# Crystal system: cubic
data_PrTmZnTc
_symmetry_space_group_name_H-M 'P 1'
_symmetry_Int_Tables_number 1
_cell_length_a 4.995
_cell_length_b 4.995
_cell_length_c 4.995
_cell_angle_alpha 60.00
_cell_angle_beta 60.00
_cell_angle_gamma 60.00
loop_
_symmetry_equiv_pos_as_xyz
'x,y,z'
loop_
_atom_site_label
_atom_site_type_symbol
_atom_site_fract_x
_atom_site_fract_y
_atom_site_fract_z
_atom_site_occupancy
Pr1 Pr 0.000 0.000 0.000 1
Tm1 Tm 0.500 0.500 0.500 1
Zn1 Zn 0.750 0.750 0.750 1
Tc1 Tc 0.250 0.250 0.250 1


# 4
# PrUTc2, optimized geometry, DFT PBE-GGA
# Volume: 83.5 Å³ per cell
# Crystal system: tetragonal
# ΔE to the lowest computed polymorph: 0.0 kJ per mole of atoms
data_PrUTc2
_symmetry_space_group_name_H-M 'P 1'
_symmetry_Int_Tables_number 1
_cell_length_a 3.362
_cell_length_b 3.362
_cell_length_c 7.383
_cell_angle_alpha 90.00
_cell_angle_beta 90.00
_cell_angle_gamma 90.00
loop_
_symmetry_equiv_pos_as_xyz
'x,y,z'
loop_
_atom_site_label
_atom_site_type_symbol
_atom_site_fract_x
_atom_site_fract_y
_atom_site_fract_z
_atom_site_occupancy
Pr1 Pr 0.000 0.000 0.000 1
U1 U 0.000 0.000 0.500 1
Tc1 Tc 0.500 0.500 0.307 1
Tc2 Tc 0.500 0.500 0.693 1


# 5
# Pr2UTc2, optimized geometry, DFT PBE-GGA
# Volume: 248.2 Å³ per cell
# Crystal system: monoclinic
data_Pr2UTc2
_symmetry_space_group_name_H-M 'P 1'
_symmetry_Int_Tables_number 1
_cell_length_a 6.457
_cell_length_b 6.457
_cell_length_c 6.944
_cell_angle_alpha 100.17
_cell_angle_beta 100.17
_cell_angle_gamma 61.16
loop_
_symmetry_equiv_pos_as_xyz
'x,y,z'
loop_
_atom_site_label
_atom_site_type_symbol
_atom_site_fract_x
_atom_site_fract_y
_atom_site_fract_z
_atom_site_occupancy
Pr1 Pr 0.033 0.261 0.128 1
Pr2 Pr 0.261 0.033 0.628 1
Pr3 Pr 0.739 0.967 0.372 1
Pr4 Pr 0.967 0.739 0.872 1
U1 U 0.469 0.531 0.250 1
U2 U 0.531 0.469 0.750 1
Tc1 Tc 0.219 0.490 0.488 1
Tc2 Tc 0.490 0.219 0.988 1
Tc3 Tc 0.510 0.781 0.012 1
Tc4 Tc 0.781 0.510 0.512 1


# 6
# PrUTc, optimized geometry, DFT PBE-GGA
# Volume: 72.1 Å³ per cell
# Crystal system: trigonal
# ΔE to the lowest computed polymorph: 19.4 kJ per mole of atoms
data_PrUTc
_symmetry_space_group_name_H-M 'P 1'
_symmetry_Int_Tables_number 1
_cell_length_a 3.514
_cell_length_b 3.514
_cell_length_c 6.740
_cell_angle_alpha 90.00
_cell_angle_beta 90.00
_cell_angle_gamma 120.00
loop_
_symmetry_equiv_pos_as_xyz
'x,y,z'
loop_
_atom_site_label
_atom_site_type_symbol
_atom_site_fract_x
_atom_site_fract_y
_atom_site_fract_z
_atom_site_occupancy
Pr1 Pr 0.000 0.000 0.000 1
U1 U 0.667 0.333 0.399 1
Tc1 Tc 0.333 0.667 0.625 1


# 7
# Pr3U2Tc4, optimized geometry, DFT PBE-GGA
# Volume: 216.3 Å³ per cell
# Crystal system: monoclinic
data_Pr3U2Tc4
_symmetry_space_group_name_H-M 'P 1'
_symmetry_Int_Tables_number 1
_cell_length_a 6.144
_cell_length_b 6.144
_cell_length_c 9.037
_cell_angle_alpha 102.29
_cell_angle_beta 102.29
_cell_angle_gamma 40.62
loop_
_symmetry_equiv_pos_as_xyz
'x,y,z'
loop_
_atom_site_label
_atom_site_type_symbol
_atom_site_fract_x
_atom_site_fract_y
_atom_site_fract_z
_atom_site_occupancy
Pr1 Pr 0.000 0.000 0.000 1
Pr2 Pr 0.375 0.375 0.617 1
Pr3 Pr 0.625 0.625 0.383 1
U1 U 0.327 0.327 0.222 1
U2 U 0.673 0.673 0.778 1
Tc1 Tc 0.090 0.090 0.642 1
Tc2 Tc 0.268 0.268 0.905 1
Tc3 Tc 0.732 0.732 0.095 1
Tc4 Tc 0.910 0.910 0.358 1


# 8
# PrUTc, optimized geometry, DFT PBE-GGA
# Volume: 70.4 Å³ per cell
# Crystal system: tetragonal
# ΔE to the lowest computed polymorph: 0.0 kJ per mole of atoms
data_PrUTc
_symmetry_space_group_name_H-M 'P 1'
_symmetry_Int_Tables_number 1
_cell_length_a 6.276
_cell_length_b 6.276
_cell_length_c 6.276
_cell_angle_alpha 147.69
_cell_angle_beta 147.69
_cell_angle_gamma 46.34
loop_
_symmetry_equiv_pos_as_xyz
'x,y,z'
loop_
_atom_site_label
_atom_site_type_symbol
_atom_site_fract_x
_atom_site_fract_y
_atom_site_fract_z
_atom_site_occupancy
Pr1 Pr 0.000 0.000 0.000 1
U1 U 0.701 0.701 0.000 1
Tc1 Tc 0.290 0.290 0.000 1


# 9
# PrUTc2, optimized geometry, DFT PBE-GGA
# Volume: 85.3 Å³ per cell
# Crystal system: trigonal
# ΔE to the lowest computed polymorph: 15.5 kJ per mole of atoms
data_PrUTc2
_symmetry_space_group_name_H-M 'P 1'
_symmetry_Int_Tables_number 1
_cell_length_a 8.863
_cell_length_b 8.863
_cell_length_c 8.863
_cell_angle_alpha 21.95
_cell_angle_beta 21.95
_cell_angle_gamma 21.95
loop_
_symmetry_equiv_pos_as_xyz
'x,y,z'
loop_
_atom_site_label
_atom_site_type_symbol
_atom_site_fract_x
_atom_site_fract_y
_atom_site_fract_z
_atom_site_occupancy
Pr1 Pr 0.000 0.000 0.000 1
U1 U 0.500 0.500 0.500 1
Tc1 Tc 0.233 0.233 0.233 1
Tc2 Tc 0.767 0.767 0.767 1


# 10
# PrUTc2, optimized geometry, DFT PBE-GGA
# Volume: 371.6 Å³ per cell
# Crystal system: orthorhombic
# ΔE to the lowest computed polymorph: 12.2 kJ per mole of atoms
data_PrUTc2
_symmetry_space_group_name_H-M 'P 1'
_symmetry_Int_Tables_number 1
_cell_length_a 7.525
_cell_length_b 6.497
_cell_length_c 7.602
_cell_angle_alpha 90.00
_cell_angle_beta 90.00
_cell_angle_gamma 90.00
loop_
_symmetry_equiv_pos_as_xyz
'x,y,z'
loop_
_atom_site_label
_atom_site_type_symbol
_atom_site_fract_x
_atom_site_fract_y
_atom_site_fract_z
_atom_site_occupancy
Pr1 Pr 0.001 0.250 0.181 1
Pr2 Pr 0.499 0.750 0.681 1
Pr3 Pr 0.501 0.250 0.319 1
Pr4 Pr 0.999 0.750 0.819 1
U1 U 0.189 0.250 0.641 1
U2 U 0.311 0.750 0.141 1
U3 U 0.689 0.250 0.859 1
U4 U 0.811 0.750 0.359 1
Tc1 Tc 0.175 0.544 0.474 1
Tc2 Tc 0.175 0.956 0.474 1
Tc3 Tc 0.325 0.044 0.974 1
Tc4 Tc 0.325 0.456 0.974 1
Tc5 Tc 0.675 0.544 0.026 1
Tc6 Tc 0.675 0.956 0.026 1
Tc7 Tc 0.825 0.044 0.526 1
Tc8 Tc 0.825 0.456 0.526 1


no.,calculated formation energy (eV/atom)
1,0.05
2,-0.03
3,-0.07
4,-0.03
5,-0.04
6,0.29
7,-0.09
8,0.09
9,0.14
10,0.10